Entry 1:
# PBE-GGA K2TlRe, optimized geometry
# Formation energy from the elements, kJ/mol of formula units: 470
# Density, g/cm3: 7.20
# V, A^3/atom: 27.0
# Excess energy over the best structure of this formula in the dataset, meV/atom: 293
# Final energy, eV/cell: -24.273
data_K2TlRe
_chemical_formula_sum 'K4 Tl2 Re2'
_cell_length_a 4.3314
_cell_length_b 4.3314
_cell_length_c 11.5318
_cell_angle_alpha 90.00
_cell_angle_beta 90.00
_cell_angle_gamma 90.00
_symmetry_space_group_name_H-M 'I 4/m m m'
_symmetry_Int_Tables_number 139
_symmetry_space_group_name_Hall '-I 4 2'
loop_
_atom_site_label
_atom_site_type_symbol
_atom_site_fract_x
_atom_site_fract_y
_atom_site_fract_z
K1 K 0.0000 0.5000 0.2500
Tl1 Tl 0.0000 0.0000 0.0000
Re1 Re 0.0000 0.0000 0.5000

---

Entry 2:
# PBE-GGA K2TlRe, optimized geometry
# Formation energy from the elements, kJ/mol of formula units: 447
# Density, g/cm3: 7.59
# V, A^3/atom: 25.6
# Excess energy over the best structure of this formula in the dataset, meV/atom: 231
# Final energy, eV/cell: -12.382
data_K2TlRe
_chemical_formula_sum 'K2 Tl1 Re1'
_cell_length_a 2.9632
_cell_length_b 5.8484
_cell_length_c 5.9162
_cell_angle_alpha 90.00
_cell_angle_beta 90.37
_cell_angle_gamma 90.00
_symmetry_space_group_name_H-M 'P 1 2/m 1'
_symmetry_Int_Tables_number 10
loop_
_symmetry_equiv_pos_as_xyz
'x,y,z'
'-x,-y,-z'
'-x,y,-z'
'x,-y,z'
loop_
_atom_site_label
_atom_site_type_symbol
_atom_site_fract_x
_atom_site_fract_y
_atom_site_fract_z
K1 K 0.0019 0.0000 0.2422
Tl1 Tl 0.5000 0.5000 0.5000
Re1 Re 0.5000 0.5000 0.0000

---

Entry 3:
# PBE-GGA K2TlRe, optimized geometry
# Formation energy from the elements, kJ/mol of formula units: 412
# Density, g/cm3: 7.44
# V, A^3/atom: 26.2
# Excess energy over the best structure of this formula in the dataset, meV/atom: 141
# Final energy, eV/cell: -12.742
data_K2TlRe
_chemical_formula_sum 'K2 Tl1 Re1'
_cell_length_a 2.9502
_cell_length_b 2.9502
_cell_length_c 12.0274
_cell_angle_alpha 90.00
_cell_angle_beta 90.00
_cell_angle_gamma 90.00
_symmetry_space_group_name_H-M 'P 4/m m m'
_symmetry_Int_Tables_number 123
_symmetry_space_group_name_Hall '-P 4 2'
loop_
_atom_site_label
_atom_site_type_symbol
_atom_site_fract_x
_atom_site_fract_y
_atom_site_fract_z
K1 K 0.0000 0.0000 0.2289
Tl1 Tl 0.5000 0.5000 0.5000
Re1 Re 0.5000 0.5000 0.0000

---

Entry 4:
# PBE-GGA KTlRe2, optimized geometry
# Formation energy from the elements, kJ/mol of formula units: 531
# Density, g/cm3: 12.84
# V, A^3/atom: 19.9
# Excess energy over the best structure of this formula in the dataset, meV/atom: 769
# Final energy, eV/cell: -68.567
data_KTlRe2
_chemical_formula_sum 'K3 Tl3 Re6'
_cell_length_a 2.9150
_cell_length_b 2.9150
_cell_length_c 32.4627
_cell_angle_alpha 90.00
_cell_angle_beta 90.00
_cell_angle_gamma 120.00
_symmetry_space_group_name_H-M 'R -3 m'
_symmetry_Int_Tables_number 166
_symmetry_space_group_name_Hall '-R 3 2"'
loop_
_atom_site_label
_atom_site_type_symbol
_atom_site_fract_x
_atom_site_fract_y
_atom_site_fract_z
K1 K 0.0000 0.0000 0.0000
Tl1 Tl 0.0000 0.0000 0.5000
Re1 Re 0.0000 0.0000 0.2411